# meta-GGA SCAN CoSi2Ni, PBEsol geometry
# E: -13.78 eV/atom
# crystal system: tetragonal
# formation energy without anion corrections: -0.40 eV/atom
data_CoSi2Ni
_symmetry_space_group_name_H-M 'P 1'
_symmetry_Int_Tables_number 1
_symmetry_space_group_name_Hall 'P 1'
_cell_length_a 3.075
_cell_length_b 3.075
_cell_length_c 4.707
_cell_angle_alpha 90.00
_cell_angle_beta 90.00
_cell_angle_gamma 90.00
loop_
_atom_site_label
_atom_site_type_symbol
_atom_site_fract_x
_atom_site_fract_y
_atom_site_fract_z
Ni1 Ni 0.500 0.500 0.786
Si1 Si 0.000 0.000 0.967
Si2 Si 0.500 0.500 0.284
Co1 Co 0.000 0.000 0.462